<a>
DFT (PBE) results for a relaxed structure of CsCSe2.

Structure (POSCAR):
```
CsCSe2
1.0
7.020 0.000 0.000
0.000 7.020 0.000
3.510 3.510 4.446
Cs C Se
2 2 4
direct
0.000 0.000 0.000
0.750 0.250 0.500
0.500 0.500 0.000
0.250 0.750 0.500
0.454 0.125 0.250
0.296 0.625 0.250
0.375 0.546 0.750
0.875 0.704 0.750
```

Summary:
* D(E_F): 1.384 states/eV/atom
* space-group type: I-42d (122)

<b>
DFT (PBE) results for a relaxed structure of CsCSe2.

Structure (POSCAR):
```
CsCSe2
1.0
2.051 0.000 8.461
-1.025 1.776 8.461
-1.025 -1.776 8.461
Cs C Se
1 1 2
direct
0.000 0.000 0.000
0.500 0.500 0.500
0.781 0.781 0.781
0.219 0.219 0.219
```

Summary:
* D(E_F): 0.737 states/eV/atom
* space-group type: R-3m (166)

It is <a> that is most stable; the runner-up trails by 60.9 kJ/mol of atoms.